1.
Mg6AlTl5 | PBE-GGA | relaxed

The structure in POSCAR format:
```
Mg6AlTl5
1.0
4.662 0.022 -1.362
-1.114 7.182 -3.742
0.008 -0.117 8.710
Tl Mg Al
5 6 1
Direct
0.333 0.833 0.666
0.663 0.663 0.326
0.667 0.167 0.334
0.000 0.500 0.000
0.337 0.337 0.674
0.839 0.597 0.676
0.163 0.921 0.324
0.500 0.233 0.000
0.500 0.767 0.000
0.161 0.403 0.324
0.837 0.079 0.676
0.000 0.000 0.000
```

Values from the calculation:
**SG**: C2/m

---

2.
RbGaTe2 | PBE-GGA | relaxed

The structure in POSCAR format:
```
RbGaTe2
1.0
3.940 -2.275 0.000
0.000 4.550 0.000
0.000 0.000 8.770
Te Rb Ga
2 1 1
Direct
0.333 0.667 0.723
0.667 0.333 0.310
0.000 0.000 0.982
0.333 0.667 0.440
```

Values from the calculation:
**SG**: P3m1
**Uncorrected formation energy**: -0.4398 eV per atom

---

3.
LaEuYHo | PBE-GGA | relaxed

The structure in POSCAR format:
```
LaEuYHo
1.0
5.842 0.000 0.000
2.921 5.059 0.000
2.921 1.686 4.770
La Ho Eu Y
1 1 1 1
Direct
0.500 0.500 0.500
0.250 0.250 0.250
0.750 0.750 0.750
0.000 0.000 0.000
```

Values from the calculation:
**SG**: F-43m

---

4.
LaPrGaI | PBE-GGA | relaxed

The structure in POSCAR format:
```
LaPrGaI
1.0
-3.361 -1.996 -1.060
1.218 -1.192 3.681
-2.440 7.777 3.345
La Ga I Pr
1 1 1 1
Direct
0.096 0.970 0.081
0.309 0.542 0.867
0.950 0.405 0.369
0.523 0.114 0.653
```

Values from the calculation:
**SG**: Cm
**Uncorrected formation energy**: -0.7735 eV per atom

---

5.
CaZrAs2 | PBE-GGA | relaxed

The structure in POSCAR format:
```
CaZrAs2
1.0
-0.590 0.467 5.560
3.878 -0.943 0.490
0.974 3.891 -0.224
As Zr Ca
2 1 1
Direct
0.000 0.875 0.875
0.500 0.375 0.375
0.500 0.875 0.875
0.000 0.375 0.375
```

Values from the calculation:
**SG**: P4/mmm
**Energy relative to the lowest polymorph listed for this composition**: 130.4 meV per atom

---

6.
PmY2Pt2 | PBE-GGA | relaxed

The structure in POSCAR format:
```
PmY2Pt2
1.0
-2.309 5.605 0.126
-4.575 -2.034 6.604
7.325 -0.257 -0.204
Pt Y Pm
4 4 2
Direct
0.889 0.103 0.779
0.611 0.324 0.221
0.389 0.676 0.779
0.111 0.897 0.221
0.348 0.983 0.696
0.848 0.713 0.696
0.652 0.017 0.304
0.152 0.287 0.304
0.750 0.500 0.000
0.250 0.500 0.000
```

Values from the calculation:
**SG**: Ibam
**Energy relative to the lowest polymorph listed for this composition**: 64.4 meV per atom

---

| no. | uncorrected energy (eV per cell) | spin magnetization (μB/cell) | calculated density (Mg/m³) |
| --- | --- | --- | --- |
| 1 | -25.1 | 0.00 | 6.847 |
| 2 | -12.0 | 0.00 | 4.335 |
| 3 | -25.7 | 8.01 | 6.415 |
| 4 | -17.4 | 0.00 | 6.146 |
| 5 | -24.0 | 0.00 | 5.150 |
| 6 | -68.5 | 0.00 | 9.002 |